# InTe2W

Crystalline InTe2W at its relaxed geometry (PBE-GGA, the Alexandria database).

a b c (Å): 3.3555 5.1275 5.3856
angles (deg): 90.00 90.00 90.00
Closest atoms and distances in Å follow each position.
Space group Pmmm (No. 47)
Unique sites:
In 0.0000 0.0000 0.0000 (multiplicity 1)  4 Te 3.06, 4 W 3.17, 2 In 3.36
Te 0.0000 0.5000 0.5000 (multiplicity 1)  4 W 3.06, 6 Te 3.17-3.36
Te 0.5000 0.5000 0.0000 (multiplicity 1)  4 In 3.06, 6 Te 3.17-3.36
W 0.5000 0.0000 0.5000 (multiplicity 1)  4 Te 3.06, 4 In 3.17, 2 W 3.36

Properties
The raw formation energy comes out at 0.951 eV per atom. For the spin magnetization, the calculation gives 1.12 μB per formula unit. The density of states at the Fermi level comes out at 1.00 states/eV per atom.

# LiNdTl2I6

Crystalline LiNdTl2I6 at its relaxed geometry (PBE-GGA, the Alexandria database).

a b c (Å): 8.0911 8.5935 14.1206
angles (deg): 90.00 123.97 90.00
Closest atoms and distances in Å follow each position.
Space group P2_1/c (No. 14)
Unique sites:
Li 0.0000 0.0000 0.0000 (multiplicity 2)  6 I 3.02-3.06
Nd 0.5000 0.0000 0.5000 (multiplicity 2)  6 I 3.13
Tl 0.2072 0.0911 0.7411 (multiplicity 4)  6 I 3.53-3.75
I 0.1322 0.1979 0.4465 (multiplicity 4)  1 Li 3.06, 1 Nd 3.13
I 0.2536 0.6927 0.4448 (multiplicity 4)  1 Li 3.06, 1 Nd 3.13
I 0.3579 0.0221 0.2441 (multiplicity 4)  1 Li 3.02, 1 Nd 3.13

Properties
The raw formation energy comes out at -1.059 eV per atom. For the spin magnetization, the calculation gives 0.00 μB per formula unit. The density of states at the Fermi level comes out at 0.00 states/eV per atom.

# AcEuDySc

Crystalline AcEuDySc at its relaxed geometry (PBE-GGA, the Alexandria database).

a b c (Å): 8.2053 8.2053 8.2053
angles (deg): 90.00 90.00 90.00
Closest atoms and distances in Å follow each position.
Space group F-43m (No. 216)
Unique sites:
Ac 0.0000 0.0000 0.0000 (multiplicity 4)  4 Sc 3.55, 4 Eu 3.55
Eu 0.2500 0.2500 0.2500 (multiplicity 4)  4 Ac 3.55, 4 Dy 3.55
Dy 0.0000 0.0000 0.5000 (multiplicity 4)  4 Eu 3.55, 4 Sc 3.55
Sc 0.2500 0.2500 0.7500 (multiplicity 4)  4 Ac 3.55, 4 Dy 3.55

Properties
For the spin magnetization, the calculation gives 7.51 μB per formula unit. The density of states at the Fermi level comes out at 1.59 states/eV per atom. As for the formation energy: 163 meV per atom.

# Nd5Dy3Er

Crystalline Nd5Dy3Er at its relaxed geometry (PBE-GGA, the Alexandria database).

a b c (Å): 20.1337 6.3037 11.8033
angles (deg): 90.00 123.27 90.00
Closest atoms and distances in Å follow each position.
Space group C2/c (No. 15)
Unique sites:
Nd 0.0000 0.0949 0.2500 (multiplicity 4)  2 Er 3.10-3.21
Nd 0.1363 0.1648 0.6568 (multiplicity 8)  2 Dy 3.14-3.50
Nd 0.1805 0.3265 0.3303 (multiplicity 8)  4 Dy 3.42-3.75, 5 Nd 3.53-3.64, 1 Er 3.66
Dy 0.0000 0.5000 0.0000 (multiplicity 4)  2 Er 3.02, 2 Nd 3.14
Dy 0.1765 0.2821 0.0275 (multiplicity 8)  1 Er 3.33, 2 Dy 3.38-3.65, 4 Nd 3.42-3.58
Er 0.0000 0.3961 0.7500 (multiplicity 4)  4 Dy 3.02-3.33, 2 Nd 3.10-3.21

Properties
For the spin magnetization, the calculation gives 0.00 μB per formula unit. The density of states at the Fermi level comes out at 1.35 states/eV per atom. As for the formation energy: 271 meV per atom.

# SrYNi2

Crystalline SrYNi2 at its relaxed geometry (PBE-GGA, the Alexandria database).

a b c (Å): 4.9568 4.9568 3.4512
angles (deg): 90.00 90.00 90.00
Closest atoms and distances in Å follow each position.
Space group P4/mmm (No. 123)
Unique sites:
Sr 0.0000 0.0000 0.0000 (multiplicity 1)  8 Ni 3.02
Y 0.5000 0.5000 0.0000 (multiplicity 1)  8 Ni 3.02
Ni 0.0000 0.5000 0.5000 (multiplicity 2)  4 Sr 3.02, 4 Y 3.02

Properties
For the spin magnetization, the calculation gives 0.00 μB per formula unit. The density of states at the Fermi level comes out at 0.42 states/eV per atom. As for the formation energy: -40 meV per atom.

# Zr5Tl2Bi

Crystalline Zr5Tl2Bi at its relaxed geometry (PBE-GGA, the Alexandria database).

a b c (Å): 4.6171 4.6171 17.2908
angles (deg): 90.00 90.00 90.00
Closest atoms and distances in Å follow each position.
Space group I4/mmm (No. 139)
Unique sites:
Zr 0.0000 0.0000 0.0000 (multiplicity 2)  8 Zr 3.15, 4 Bi 3.26
Zr 0.0000 0.5000 0.1242 (multiplicity 8)  2 Bi 3.15, 6 Zr 3.15-3.26, 4 Tl 3.17-3.18
Tl 0.0000 0.0000 0.2496 (multiplicity 4)  8 Zr 3.17-3.18, 4 Tl 3.26
Bi 0.0000 0.0000 0.5000 (multiplicity 2)  12 Zr 3.15-3.26

Properties
For the spin magnetization, the calculation gives 0.00 μB per formula unit. The density of states at the Fermi level comes out at 0.94 states/eV per atom. As for the formation energy: -145 meV per atom.

# TlCdOs2

Crystalline TlCdOs2 at its relaxed geometry (PBE-GGA, the Alexandria database).

a b c (Å): 4.0912 4.0912 4.2418
angles (deg): 90.00 90.00 90.00
Closest atoms and distances in Å follow each position.
Space group P4/mmm (No. 123)
Unique sites:
Tl 0.0000 0.0000 0.0000 (multiplicity 1)  4 Cd 2.89, 8 Os 2.95
Cd 0.5000 0.5000 0.0000 (multiplicity 1)  4 Tl 2.89, 8 Os 2.95
Os 0.0000 0.5000 0.5000 (multiplicity 2)  4 Os 2.89, 4 Cd 2.95, 4 Tl 2.95

Properties
For the spin magnetization, the calculation gives 1.76 μB per formula unit. The density of states at the Fermi level comes out at 1.13 states/eV per atom. As for the formation energy: 1100 meV per atom.

# ThAl2Zn2Pd

Crystalline ThAl2Zn2Pd at its relaxed geometry (PBE-GGA, the Alexandria database).

a b c (Å): 4.8019 4.8019 5.4937
angles (deg): 90.00 90.00 90.00
Closest atoms and distances in Å follow each position.
Space group P4/mmm (No. 123)
Unique sites:
Th 0.0000 0.0000 0.0000 (multiplicity 1)  2 Pd 2.75
Al 0.5000 0.5000 0.2349 (multiplicity 2)  1 Al 2.58, 4 Zn 2.81
Zn 0.0000 0.5000 0.5000 (multiplicity 2)  2 Pd 2.40
Pd 0.0000 0.0000 0.5000 (multiplicity 1)  4 Zn 2.40

Properties
For the spin magnetization, the calculation gives 0.00 μB per formula unit. The density of states at the Fermi level comes out at 0.61 states/eV per atom. As for the formation energy: -83 meV per atom.

# InHg3

Crystalline InHg3 at its relaxed geometry (PBE-GGA, the Alexandria database).

a b c (Å): 3.9695 3.9695 6.8466
angles (deg): 90.00 90.00 90.00
Closest atoms and distances in Å follow each position.
Space group P4/mmm (No. 123)
Unique sites:
In 0.0000 0.0000 0.0000 (multiplicity 1)  10 Hg 3.28-3.42
Hg 0.0000 0.0000 0.5000 (multiplicity 1)  8 Hg 3.29, 2 In 3.42
Hg 0.5000 0.5000 0.2484 (multiplicity 2)  4 In 3.28, 6 Hg 3.29-3.44

Properties
For the spin magnetization, the calculation gives 0.00 μB per formula unit. The density of states at the Fermi level comes out at 0.31 states/eV per atom. As for the formation energy: 9 meV per atom.

# FeSb2TeIr

Crystalline FeSb2TeIr at its relaxed geometry (PBE-GGA, the Alexandria database).

a b c (Å): 4.7696 4.7696 4.8976
angles (deg): 90.00 90.00 90.00
Closest atoms and distances in Å follow each position.
Space group P4/mmm (No. 123)
Unique sites:
Fe 0.0000 0.0000 0.0000 (multiplicity 1)  4 Sb 2.38, 2 Te 2.45
Sb 0.0000 0.5000 0.0000 (multiplicity 2)  2 Fe 2.38
Te 0.0000 0.0000 0.5000 (multiplicity 1)  2 Fe 2.45
Ir 0.5000 0.5000 0.5000 (multiplicity 1)  4 Te 3.37, 8 Sb 3.42

Properties
The raw formation energy comes out at 0.834 eV per atom. For the spin magnetization, the calculation gives 0.00 μB per formula unit. The density of states at the Fermi level comes out at 0.94 states/eV per atom.

# Zn2SbOs

Crystalline Zn2SbOs at its relaxed geometry (PBE-GGA, the Alexandria database).

a b c (Å): 5.2726 9.5994 3.2396
angles (deg): 90.00 121.64 90.00
Closest atoms and distances in Å follow each position.
Space group C2/m (No. 12)
Unique sites:
Zn 0.2500 0.2500 0.0000 (multiplicity 4)  4 Zn 2.64-2.91, 2 Sb 2.74, 2 Os 2.74
Sb 0.0000 0.0000 0.0000 (multiplicity 2)  4 Os 2.64-2.91, 4 Zn 2.74
Os 0.0000 0.5000 0.0000 (multiplicity 2)  4 Sb 2.64-2.91, 4 Zn 2.74

Properties
The raw formation energy comes out at 0.408 eV per atom. For the spin magnetization, the calculation gives 0.00 μB per formula unit. The density of states at the Fermi level comes out at 0.40 states/eV per atom.

# La2MgNiPb

Crystalline La2MgNiPb at its relaxed geometry (PBE-GGA, the Alexandria database).

a b c (Å): 5.3448 5.3448 4.9910
angles (deg): 90.00 90.00 90.00
Closest atoms and distances in Å follow each position.
Space group P4/mmm (No. 123)
Unique sites:
La 0.0000 0.5000 0.0000 (multiplicity 2)  2 Ni 2.67
Mg 0.0000 0.0000 0.5000 (multiplicity 1)  2 Ni 2.50
Ni 0.0000 0.0000 0.0000 (multiplicity 1)  2 Mg 2.50, 4 La 2.67
Pb 0.5000 0.5000 0.5000 (multiplicity 1)  8 La 3.66, 4 Mg 3.78

Properties
For the spin magnetization, the calculation gives 0.00 μB per formula unit. The density of states at the Fermi level comes out at 0.83 states/eV per atom. As for the formation energy: -372 meV per atom.